LiCaAcHo PBE optimized geometry; space-group type = F-43m (216); energy of formation from the pure elements = 72 kJ/mol of formula units
1.0
0.000 4.126 4.126
4.126 0.000 4.126
4.126 4.126 0.000
Li Ca Ac Ho
1 1 1 1
Direct
0.000 0.000 0.000
0.750 0.750 0.750
0.250 0.250 0.250
0.500 0.500 0.500